1.
## NaCBr2 (meta-GGA SCAN)

Data for NaCBr2 at its PBEsol-relaxed geometry.

Geometry as extended XYZ:
```
4
Lattice="4.8645 0.0000 0.0000 2.4322 4.2127 0.0000 2.4322 1.4042 3.9718" Properties=species:S:1:pos:R:3 pbc="T T T"
Na 4.8645 2.8085 1.9859
C 0.0000 0.0000 0.0000
Br 2.4322 1.4042 0.9930
Br 7.2967 4.2127 2.9789
```

- size of the total moment (μB per formula unit) = 1.000
- space group = No. 225
- formation energy without anion corrections (meV/atom) = 972

2.
## BaCd3Pd (meta-GGA SCAN)

Data for BaCd3Pd at its PBEsol-relaxed geometry.

Geometry as extended XYZ:
```
5
Lattice="-1.4295 -4.0656 2.8615 3.6175 1.1919 3.5006 -3.4105 2.9683 2.5136" Properties=species:S:1:pos:R:3 pbc="T T T"
Cd 1.8087 0.5959 1.7503
Cd -0.7148 -2.0328 1.4308
Cd -1.7052 1.4842 1.2568
Pd 0.0000 0.0000 0.0000
Ba -0.6113 0.0473 4.4379
```

- size of the total moment (μB per formula unit) = 0.000
- energy of formation (eV/atom) = -0.357
- space group = No. 221

3.
## In3Pd2 (meta-GGA SCAN)

Data for In3Pd2 at its PBEsol-relaxed geometry.

Geometry as extended XYZ:
```
5
Lattice="-1.1222 4.2341 -1.1108 -3.1475 -2.8308 1.5813 1.1069 1.6430 5.1444" Properties=species:S:1:pos:R:3 pbc="T T T"
In -1.7591 0.5829 3.9990
In 0.0000 0.0000 0.0000
In -1.4037 2.4634 1.6159
Pd -2.3076 -0.2313 1.4496
Pd -0.8551 3.2776 4.1653
```

- size of the total moment (μB per formula unit) = 0.000
- energy of formation (eV/atom) = -0.519
- space group = No. 164

4.
## Zn2IrBr (meta-GGA SCAN)

Data for Zn2IrBr at its PBEsol-relaxed geometry.

Geometry as extended XYZ:
```
4
Lattice="3.1752 0.0106 0.0280 1.5785 2.7550 0.0280 1.5119 0.8796 7.6795" Properties=species:S:1:pos:R:3 pbc="T T T"
Zn 3.9411 2.2928 2.0976
Zn 2.3245 1.3523 5.6380
Br 2.3768 1.3828 0.0280
Ir 0.7560 0.4398 3.8398
```

- size of the total moment (μB per formula unit) = 0.000
- space group = No. 166
- offset from the most stable computed form (meV per atom) = 0
- formation energy without anion corrections (meV/atom) = 125

5.
## BeRe2Mo (meta-GGA SCAN)

Data for BeRe2Mo at its PBEsol-relaxed geometry.

Geometry as extended XYZ:
```
4
Lattice="-3.5277 -1.3749 1.9474 -2.0062 -3.4720 -1.4312 0.0883 -3.5988 2.2735" Properties=species:S:1:pos:R:3 pbc="T T T"
Re 0.0000 0.0000 0.0000
Re -4.0842 -6.3343 2.0923
Mo -1.3614 -2.1114 0.6974
Be -2.7228 -4.2228 1.3949
```

- size of the total moment (μB per formula unit) = 0.000
- energy of formation (eV/atom) = 0.064
- space group = No. 216

6.
## PrHf2F11 (meta-GGA SCAN)

Data for PrHf2F11 at its PBEsol-relaxed geometry.

Geometry as extended XYZ:
```
28
Lattice="7.6960 0.0000 0.0000 3.8480 7.3980 -0.0170 3.8480 0.6943 7.3654" Properties=species:S:1:pos:R:3 pbc="T T T"
F 13.3665 7.5657 5.8340
F 4.6374 4.1897 1.3054
F 2.0254 0.5266 1.5144
F 6.9065 3.0383 6.9948
F 3.0585 1.7022 4.0448
F 8.4854 5.0540 0.3536
F 8.4854 7.2544 2.3518
F 8.6984 2.5771 5.2919
F 5.6705 2.4881 3.2956
F 12.3334 6.3901 3.3036
F 5.6705 4.5728 5.1886
F 6.9065 0.8379 4.9966
F 4.8504 2.1633 5.7476
F 9.7214 6.5343 6.9698
F 7.6960 4.0461 3.6742
F 10.5415 5.9290 1.6007
F 0.0000 0.0000 0.0000
F 6.6935 5.5152 2.0565
F 9.7214 5.6042 4.0528
F 5.6705 1.5580 0.3786
F 10.7545 3.9026 6.0429
F 9.7214 3.5195 2.1598
Pr 3.8480 2.0231 1.8371
Pr 11.5439 6.0692 5.5113
Hf 10.5201 1.9071 6.0298
Hf 8.7198 5.2589 2.3386
Hf 6.6721 2.8334 5.0097
Hf 4.8719 6.1852 1.3185
```

- size of the total moment (μB per formula unit) = 0.000
- space group = No. 72
- formation energy without anion corrections (meV/atom) = -4142